(1)
The following is a DFT calculation (PBE) of a relaxed Na2Pd3O6 crystal.

Unit cell a=5.5204 b=5.5290 c=5.6943 alpha=80.81 beta=71.34 gamma=60.05
With the nearest neighbours (Å) after each atom.
Element x y z (fractional)
Na (0.1666, 0.6669, 0.5000)  6 O 2.43-2.47
Na (0.8334, 0.3331, 0.5000)  6 O 2.43-2.47
Pd (0.0000, 0.0000, 0.0000)  6 O 2.04-2.19
Pd (0.3369, 0.3262, 0.0000)  6 O 2.04-2.16
Pd (0.6631, 0.6738, 0.0000)  6 O 2.04-2.16
O (0.4012, 0.6432, 0.8070)  3 Pd 2.04-2.19
O (0.7410, 0.0000, 0.8118)  3 Pd 2.04-2.11
O (0.0443, 0.3568, 0.8070)  3 Pd 2.04-2.19
O (0.2590, 0.0000, 0.1882)  3 Pd 2.04-2.11
O (0.5988, 0.3568, 0.1930)  3 Pd 2.04-2.19
O (0.9557, 0.6432, 0.1930)  3 Pd 2.04-2.19

Properties
E_form (uncorrected): -0.717 eV per atom


(2)
The following is a DFT calculation (PBE) of a relaxed NdEuSn crystal.

Unit cell a=3.4150 b=5.4244 c=5.4244 alpha=120.00 beta=90.00 gamma=90.00
With the nearest neighbours (Å) after each atom.
Element x y z (fractional)
Eu (0.1642, 0.0000, 0.0000)  3 Nd 3.13, 2 Eu 3.42
Nd (0.1699, 0.3333, 0.6667)  3 Eu 3.13, 2 Nd 3.42
Sn (0.6659, 0.6667, 0.3333)  2 Sn 3.42, 6 Nd 3.56-3.57, 6 Eu 3.56-3.57

Properties
excess energy over the best structure of this formula in the dataset: 51.2 kJ/mol of formula units
energy relative to the elements: -278 meV per atom


(3)
The following is a DFT calculation (PBE) of a relaxed BaIn2Br crystal.

Unit cell a=6.6328 b=6.6328 c=3.9911 alpha=90.00 beta=90.00 gamma=123.31
With the nearest neighbours (Å) after each atom.
Element x y z (fractional)
Ba (0.5000, 0.0000, 0.5000)  2 Br 3.15
Br (0.0000, 0.5000, 0.5000)  2 Ba 3.15
In (0.0000, 0.0000, 0.0000)  2 In 3.15
In (0.5000, 0.5000, 0.0000)  2 In 3.15

Properties
E_form (uncorrected): -0.491 eV per atom
excess energy over the best structure of this formula in the dataset: 93.7 kJ/mol of formula units


(4)
The following is a DFT calculation (PBE) of a relaxed TlRe2Cl crystal.

Unit cell a=4.6026 b=4.6026 c=3.2254 alpha=90.00 beta=90.00 gamma=90.00
With the nearest neighbours (Å) after each atom.
Element x y z (fractional)
Cl (0.0000, 0.5000, 0.5000)  8 Re 2.81
Re (0.0000, 0.0000, 0.0000)  4 Tl 2.81, 4 Cl 2.81
Re (0.5000, 0.5000, 0.0000)  4 Tl 2.81, 4 Cl 2.81
Tl (0.5000, 0.0000, 0.5000)  8 Re 2.81

Properties
E_form (uncorrected): 1.690 eV per atom
excess energy over the best structure of this formula in the dataset: 567.4 kJ/mol of formula units


(5)
The following is a DFT calculation (PBE) of a relaxed ZrPI2O crystal.

Unit cell a=5.9454 b=5.9454 c=4.0406 alpha=90.00 beta=90.00 gamma=90.00
With the nearest neighbours (Å) after each atom.
Element x y z (fractional)
I (0.0000, 0.5000, 0.0000)  2 Zr 2.97
I (0.5000, 0.0000, 0.0000)  2 Zr 2.97
P (0.5000, 0.5000, 0.5000)  8 I 3.59
O (0.0000, 0.0000, 0.5000)  2 Zr 2.02
Zr (0.0000, 0.0000, 0.0000)  2 O 2.02

Properties
E_form (uncorrected): -0.520 eV per atom
excess energy over the best structure of this formula in the dataset: 0.0 kJ/mol of formula units


(6)
The following is a DFT calculation (PBE) of a relaxed Zr2FeCoH crystal.

Unit cell a=4.5408 b=4.5408 c=3.3040 alpha=90.00 beta=90.00 gamma=90.00
With the nearest neighbours (Å) after each atom.
Element x y z (fractional)
H (0.0000, 0.0000, 0.0000)  2 Fe 1.65
Co (0.5000, 0.5000, 0.5000)  8 Zr 2.81
Fe (0.0000, 0.0000, 0.5000)  2 H 1.65
Zr (0.0000, 0.5000, 0.0000)  2 H 2.27
Zr (0.5000, 0.0000, 0.0000)  2 H 2.27

Properties
excess energy over the best structure of this formula in the dataset: 1.8 kJ/mol of formula units


(7)
The following is a DFT calculation (PBE) of a relaxed Sc2NiRu crystal.

Unit cell a=8.0220 b=8.0220 c=8.0220 alpha=22.90 beta=22.90 gamma=22.90
With the nearest neighbours (Å) after each atom.
Element x y z (fractional)
Ni (0.2500, 0.2500, 0.2500)  6 Sc 2.68
Ru (0.7500, 0.7500, 0.7500)  6 Sc 2.68
Sc (0.9999, 0.9999, 0.9999)  3 Ni 2.68, 3 Ru 2.68
Sc (0.5001, 0.5001, 0.5001)  3 Ni 2.68, 3 Ru 2.68

Properties
energy relative to the elements: -183 meV per atom


Number 1: DOS at the Fermi energy 3.7 states/eV per cell, E_tot -5.08 eV per atom. Number 2: DOS at the Fermi energy 2.8 states/eV per cell, E_tot -6.63 eV per atom. Number 3: DOS at the Fermi energy 2.6 states/eV per cell, E_tot -2.76 eV per atom. Number 4: DOS at the Fermi energy 5.0 states/eV per cell, E_tot -5.59 eV per atom. Number 5: DOS at the Fermi energy 1.5 states/eV per cell, E_tot -4.92 eV per atom. Number 6: DOS at the Fermi energy 2.9 states/eV per cell, E_tot -7.45 eV per atom. Number 7: DOS at the Fermi energy 4.6 states/eV per cell, E_tot -7.11 eV per atom.